*i*
Compound: NbCr3Ga
Source: the Alexandria database
Functional: PBE
Structure: relaxed

The calculation puts the volume at 18.1 Å³/atom.

The space group is Pm-3m (No. 221) and the conventional cell measures 4.4894, 4.4894 and 4.4894 Å, with angles of 90.00, 90.00 and 90.00 degrees. The asymmetric unit holds Nb at (0.0000, 0.0000, 0.0000), Cr at (0.0000, 0.5000, 0.5000) and Ga at (0.5000, 0.5000, 0.5000).



*ii*
Compound: NbCr3Ga
Source: the Alexandria database
Functional: PBE
Structure: relaxed

The calculation puts the volume at 21.1 Å³/atom.

The space group is Pm-3m (No. 221) and the conventional cell measures 4.7215, 4.7215 and 4.7215 Å, with angles of 90.00, 90.00 and 90.00 degrees. The asymmetric unit holds Nb at (0.0000, 0.0000, 0.0000), Cr at (0.0000, 0.0000, 0.5000) and Ga at (0.5000, 0.5000, 0.5000).



Most stable one: *i*, least stable one: *ii*.



*i*
Compound: Cr2GaNi8
Source: the Alexandria database
Functional: PBE
Structure: relaxed

The calculation puts the volume at 12.0 Å³/atom.

The space group is C2/m (No. 12) and the conventional cell measures 6.4815, 12.3851 and 4.3464 Å, with angles of 90.00, 130.72 and 90.00 degrees. The asymmetric unit holds Cr at (0.0000, 0.1836, 0.0000), Ga at (0.0000, 0.5000, 0.5000), Ni at (0.0000, 0.3081, 0.5000), Ni at (0.0247, 0.0000, 0.2715) and Ni at (0.2425, 0.3604, 0.2346).



*ii*
Compound: Cr2GaNi8
Source: the Alexandria database
Functional: PBE
Structure: relaxed

The calculation puts the volume at 11.4 Å³/atom.

The space group is P-1 (No. 2) and the conventional cell measures 3.9209, 6.0779 and 6.2802 Å, with angles of 116.88, 108.05 and 90.18 degrees. The asymmetric unit holds Cr at (0.2100, 0.1555, 0.4191), Ga at (0.5000, 0.5000, 0.0000), Ni at (0.0313, 0.2224, 0.0639), Ni at (0.1542, 0.7071, 0.3087), Ni at (0.3234, 0.5967, 0.6465) and Ni at (0.3886, 0.0519, 0.7784).



Most stable one: *ii*, least stable one: *i*.



*i*
Compound: Zr2CrGaNi
Source: the Alexandria database
Functional: PBE
Structure: relaxed

The calculation puts the volume at 20.7 Å³/atom.

The space group is P4/mmm (No. 123) and the conventional cell measures 4.7974, 4.7974 and 4.4959 Å, with angles of 90.00, 90.00 and 90.00 degrees. The asymmetric unit holds Zr at (0.0000, 0.5000, 0.0000), Cr at (0.0000, 0.0000, 0.5000), Ga at (0.5000, 0.5000, 0.5000) and Ni at (0.0000, 0.0000, 0.0000).



*ii*
Compound: Zr2CrGaNi
Source: the Alexandria database
Functional: PBE
Structure: relaxed

The calculation puts the volume at 19.8 Å³/atom.

The space group is P4/mmm (No. 123) and the conventional cell measures 4.7927, 4.7927 and 4.3060 Å, with angles of 90.00, 90.00 and 90.00 degrees. The asymmetric unit holds Zr at (0.0000, 0.5000, 0.0000), Cr at (0.0000, 0.0000, 0.5000), Ga at (0.5000, 0.5000, 0.5000) and Ni at (0.5000, 0.5000, 0.0000).



Most stable one: *i*, least stable one: *ii*.